Record 1
Here is GaSiH after structural relaxation from Alexandria. Energies are from PBE.

Cell lengths 7.2729, 4.2094, 4.4371 Å; angles 90.00, 123.00, 90.00 degrees
Fractional coordinates of all 6 atoms:
Ga (0.0000, 0.0000, 0.0000)
Ga (0.5000, 0.5000, 0.0000)
Si (0.3073, 0.0000, 0.9202)
Si (0.8073, 0.5000, 0.9202)
H (0.1687, 0.0000, 0.4979)
H (0.6687, 0.5000, 0.4979)

Output
volume = 113.9 Å³ per cell
symmetry = Cm

=====

Record 2
Here is GaSiH after structural relaxation from Alexandria. Energies are from PBE.

Cell lengths 2.7948, 4.6382, 6.1369 Å; angles 90.00, 90.00, 90.00 degrees
Fractional coordinates of all 6 atoms:
Ga (0.0000, 0.0000, 0.0000)
Ga (0.5000, 0.5000, 0.5000)
Si (0.0000, 0.0000, 0.5697)
Si (0.5000, 0.5000, 0.0697)
H (0.0000, 0.0000, 0.3106)
H (0.5000, 0.5000, 0.8106)

Output
volume = 79.6 Å³ per cell
symmetry = Imm2

=====

Calculated energy above the lowest structure with this stoichiometry (meV/atom), listed in the same order as above: 8, 84
Calculated DFT total energy (eV/cell), listed in the same order as above: -22.52, -22.07
Calculated N(E_F) (states/eV/f.u.), listed in the same order as above: 0.14, 0.35